Computed, not measured: a geometry-optimized VBrNF2 structure at the GGA+U level of DFT.

Computed properties:
space group = P4/mmm (123)
crystal system = tetragonal
M_tot = 1.11 μB per formula unit
energy above the most stable polymorph in this dataset = 0.0 kJ/mol of atoms

a = 3.8973 Å, b = 3.8973 Å, c = 4.4259 Å
α = 90.00°, β = 90.00°, γ = 90.00°
Last column: nearest neighbours and their distance in Å.
Element x y z (fractional)
Br  0.5000  0.5000  0.5000  4 N 2.76, 8 F 2.95
F  0.0000  0.5000  0.0000  2 V 1.95
F  0.5000  0.0000  0.0000  2 V 1.95
V  0.0000  0.0000  0.0000  4 F 1.95
N  0.0000  0.0000  0.5000  2 V 2.21